Density functional theory data (GGA-PBE) for a geometry-optimized Cs3HgAu2I6 structure.

POSCAR file:
```
Cs3HgAu2I6
1.0
9.105 0.000 0.000
-4.553 7.885 0.000
0.000 0.000 9.828
Cs Hg Au I
3 1 2 6
Cartesian
0.000 0.000 0.000 Cs
0.000 5.257 6.297 Cs
4.553 2.628 3.531 Cs
0.000 0.000 4.914 Hg
0.000 5.257 2.647 Au
4.553 2.628 7.181 Au
0.000 2.553 2.897 I
-2.342 6.609 2.897 I
2.211 1.276 6.931 I
2.342 6.609 2.897 I
6.894 1.276 6.931 I
4.553 5.333 6.931 I
```

- Theoretical density: 4.13 g cm⁻³
- Formation energy (no corrections): -738 meV/atom
- Electronic total energy: -0.0844 Ha/atom
- SG: P-3m1, No. 164